Entry 1:
A plane-wave DFT calculation with PBE was carried out for a relaxed Ba4BeSb crystal.

Calculated values
- mass density (g cm⁻³) = 4.40
- total moment (μB/cell) = 1.344
- calculated total energy (eV for the cell shown) = -12.1
- formation energy without anion corrections (meV/atom) = 574

Lattice parameters (Å, degrees): 7.135 7.135 7.135 60.00 60.00 60.00
Sites, in units of the cell vectors:
Ba 0.376 0.376 0.376
Ba 0.376 0.376 0.872
Ba 0.376 0.872 0.376
Ba 0.872 0.376 0.376
Be 0.000 0.000 0.000
Sb 0.750 0.750 0.750

---

Entry 2:
A plane-wave DFT calculation with PBE was carried out for a relaxed La2Pr6Th3 crystal.

Calculated values
- mass density (g cm⁻³) = 7.53
- total moment (μB/cell) = 0.000
- calculated total energy (eV for the cell shown) = -59.0

Lattice parameters (Å, degrees): 6.459 6.459 11.624 93.89 93.89 123.34
Sites, in units of the cell vectors:
La 0.142 0.858 0.000
La 0.858 0.142 0.000
Pr 0.094 0.094 0.268
Pr 0.260 0.579 0.762
Pr 0.421 0.740 0.238
Pr 0.579 0.260 0.762
Pr 0.740 0.421 0.238
Pr 0.906 0.906 0.732
Th 0.173 0.827 0.500
Th 0.500 0.500 0.500
Th 0.827 0.173 0.500

---

Entry 3:
A plane-wave DFT calculation with PBE was carried out for a relaxed TbPr5NdHo2 crystal.

Calculated values
- mass density (g cm⁻³) = 6.99
- total moment (μB/cell) = 0.000
- calculated total energy (eV for the cell shown) = -82.3

Lattice parameters (Å, degrees): 10.684 10.684 10.807 90.00 90.00 149.00
Sites, in units of the cell vectors:
Tb 0.090 0.910 0.500
Tb 0.910 0.090 0.000
Pr 0.020 0.980 0.785
Pr 0.110 0.890 0.068
Pr 0.204 0.796 0.746
Pr 0.219 0.781 0.353
Pr 0.484 0.516 0.063
Pr 0.516 0.484 0.563
Pr 0.781 0.219 0.853
Pr 0.796 0.204 0.246
Pr 0.890 0.110 0.568
Pr 0.980 0.020 0.285
Nd 0.300 0.700 0.052
Nd 0.700 0.300 0.552
Ho 0.384 0.616 0.358
Ho 0.389 0.611 0.781
Ho 0.611 0.389 0.281
Ho 0.616 0.384 0.858

---

Entry 4:
A plane-wave DFT calculation with PBE was carried out for a relaxed UPaSbMo crystal.

Calculated values
- mass density (g cm⁻³) = 13.21
- total moment (μB/cell) = 3.429
- calculated total energy (eV for the cell shown) = -34.8
- formation energy without anion corrections (meV/atom) = 231

Lattice parameters (Å, degrees): 4.961 4.961 4.961 60.00 60.00 60.00
Sites, in units of the cell vectors:
U 0.000 0.000 0.000
Pa 0.250 0.250 0.250
Sb 0.500 0.500 0.500
Mo 0.750 0.750 0.750

---

Entry 5:
A plane-wave DFT calculation with PBE was carried out for a relaxed Na2CaHg crystal.

Calculated values
- mass density (g cm⁻³) = 3.41
- total moment (μB/cell) = 0.000
- calculated total energy (eV for the cell shown) = -4.9

Lattice parameters (Å, degrees): 12.129 12.129 12.129 17.43 17.43 17.43
Sites, in units of the cell vectors:
Na 0.099 0.099 0.099
Na 0.901 0.901 0.901
Ca 0.000 0.000 0.000
Hg 0.500 0.500 0.500

---

Entry 6:
A plane-wave DFT calculation with PBE was carried out for a relaxed TeRh3 crystal.

Calculated values
- mass density (g cm⁻³) = 6.72
- total moment (μB/cell) = 0.000
- calculated total energy (eV for the cell shown) = -46.5
- formation energy without anion corrections (meV/atom) = 484

Lattice parameters (Å, degrees): 8.421 8.421 3.634 90.00 90.00 123.26
Sites, in units of the cell vectors:
Te 0.218 0.782 0.750
Te 0.782 0.218 0.250
Rh 0.138 0.522 0.250
Rh 0.449 0.551 0.250
Rh 0.478 0.862 0.250
Rh 0.522 0.138 0.750
Rh 0.551 0.449 0.750
Rh 0.862 0.478 0.750

---

> Look up the total moment of the second one.

0.000 μB/cell